<A>
Here is NaCaCdGe2 after structural relaxation from Alexandria via LeMat-Bulk. Energies are from PBE.

Results
- total magnetic moment (μB per cell) = 0.00

Cell lengths 5.264, 5.264, 5.181 Å; angles 90.00, 90.00, 90.00 degrees
Space group P4/mmm (No. 123)
Asymmetric unit:
Na  0.000  0.000  0.000 (multiplicity 1)
Ca  0.500  0.500  0.000 (multiplicity 1)
Cd  0.000  0.000  0.500 (multiplicity 1)
Ge  0.000  0.500  0.500 (multiplicity 2)

<B>
Here is NaCaCdGe2 after structural relaxation from Alexandria via LeMat-Bulk. Energies are from PBE.

Results
- total magnetic moment (μB per cell) = 0.58

Cell lengths 5.463, 5.463, 5.617 Å; angles 90.00, 90.00, 90.00 degrees
Space group P4/mmm (No. 123)
Asymmetric unit:
Na  0.000  0.000  0.000 (multiplicity 1)
Ca  0.000  0.000  0.500 (multiplicity 1)
Cd  0.500  0.500  0.000 (multiplicity 1)
Ge  0.000  0.500  0.500 (multiplicity 2)

Quick look at relative energies in kJ/mol of atoms: <A> 0.0; <B> 46.5.

<A>
Here is CaCd2H after structural relaxation from Alexandria via LeMat-Bulk. Energies are from PBE.

Results
- total magnetic moment (μB per cell) = 0.00

Cell lengths 7.235, 7.235, 7.235 Å; angles 90.00, 90.00, 90.00 degrees
Space group Fm-3m (No. 225)
Asymmetric unit:
Ca  0.000  0.000  0.000 (multiplicity 4)
Cd  0.250  0.250  0.250 (multiplicity 8)
H  0.000  0.000  0.500 (multiplicity 4)

<B>
Here is CaCd2H after structural relaxation from Alexandria via LeMat-Bulk. Energies are from PBE.

Results
- total magnetic moment (μB per cell) = 0.00

Cell lengths 8.176, 8.176, 5.086 Å; angles 90.00, 90.00, 90.00 degrees
Space group I-42d (No. 122)
Asymmetric unit:
Ca  0.000  0.000  0.000 (multiplicity 4)
Cd  0.174  0.750  0.625 (multiplicity 8)
H  0.000  0.000  0.500 (multiplicity 4)

Quick look at relative energies in kJ/mol of atoms: <A> 36.5; <B> 0.0.

<A>
Here is Ca4Cd2H after structural relaxation from Alexandria via LeMat-Bulk. Energies are from PBE.

Results
- total magnetic moment (μB per cell) = 0.00

Cell lengths 4.741, 4.741, 17.601 Å; angles 90.00, 90.00, 90.00 degrees
Space group I4/mmm (No. 139)
Asymmetric unit:
Ca  0.000  0.000  0.181 (multiplicity 4)
Ca  0.000  0.500  0.000 (multiplicity 4)
Cd  0.000  0.000  0.368 (multiplicity 4)
H  0.000  0.000  0.000 (multiplicity 2)

<B>
Here is Ca4Cd2H after structural relaxation from Alexandria via LeMat-Bulk. Energies are from PBE.

Results
- total magnetic moment (μB per cell) = 0.00

Cell lengths 6.638, 6.995, 8.947 Å; angles 90.00, 106.99, 90.00 degrees
Space group P2_1/m (No. 11)
Asymmetric unit:
Ca  0.042  0.005  0.291 (multiplicity 4)
Ca  0.348  0.750  0.043 (multiplicity 2)
Ca  0.427  0.750  0.647 (multiplicity 2)
Cd  0.187  0.250  0.017 (multiplicity 2)
Cd  0.321  0.250  0.612 (multiplicity 2)
H  0.186  0.750  0.782 (multiplicity 2)

Quick look at relative energies in kJ/mol of atoms: <A> 3.3; <B> 0.0.

<A>
Here is CaCdH2 after structural relaxation from Alexandria via LeMat-Bulk. Energies are from PBE.

Results
- total magnetic moment (μB per cell) = 0.00

Cell lengths 5.350, 5.350, 11.422 Å; angles 90.00, 90.00, 90.00 degrees
Space group I-42d (No. 122)
Asymmetric unit:
Ca  0.000  0.000  0.000 (multiplicity 4)
Cd  0.000  0.000  0.500 (multiplicity 4)
H  0.146  0.250  0.125 (multiplicity 8)

<B>
Here is CaCdH2 after structural relaxation from Alexandria via LeMat-Bulk. Energies are from PBE.

Results
- total magnetic moment (μB per cell) = 0.00

Cell lengths 6.153, 6.153, 6.153 Å; angles 90.00, 90.00, 90.00 degrees
Space group Fm-3m (No. 225)
Asymmetric unit:
Ca  0.000  0.000  0.000 (multiplicity 4)
Cd  0.000  0.000  0.500 (multiplicity 4)
H  0.250  0.250  0.250 (multiplicity 8)

Quick look at relative energies in kJ/mol of atoms: <A> 0.0; <B> 2.7.

<A>
Here is CaCdH after structural relaxation from Alexandria via LeMat-Bulk. Energies are from PBE.

Results
- total magnetic moment (μB per cell) = 0.00

Cell lengths 3.245, 3.245, 11.857 Å; angles 90.00, 90.00, 90.00 degrees
Space group I4mm (No. 107)
Asymmetric unit:
Ca  0.000  0.000  0.000 (multiplicity 2)
Cd  0.000  0.000  0.286 (multiplicity 2)
H  0.000  0.000  0.531 (multiplicity 2)

<B>
Here is CaCdH after structural relaxation from Alexandria via LeMat-Bulk. Energies are from PBE.

Results
- total magnetic moment (μB per cell) = 0.30

Cell lengths 3.8388, 3.8388, 5.1028 Å; angles 90.00, 90.00, 120.00 degrees
Space group P3m1 (No. 156)
Asymmetric unit:
Ca  0.0000  0.0000  0.0000 (multiplicity 1)
Cd  0.3333  0.6667  0.5003 (multiplicity 1)
H  0.6667  0.3333  0.0013 (multiplicity 1)

<C>
Here is CaCdH after structural relaxation from Alexandria via LeMat-Bulk. Energies are from PBE.

Results
- total magnetic moment (μB per cell) = 0.00

Cell lengths 3.848, 3.848, 7.972 Å; angles 90.00, 90.00, 90.00 degrees
Space group P4/nmm (No. 129, origin choice 2)
Asymmetric unit:
Ca  0.250  0.250  0.154 (multiplicity 2)
Cd  0.250  0.250  0.586 (multiplicity 2)
H  0.250  0.750  0.000 (multiplicity 2)

Quick look at relative energies in kJ/mol of atoms: <A> 26.4; <B> 24.4; <C> 0.0.

<A>
Here is Ca2CdH after structural relaxation from Alexandria via LeMat-Bulk. Energies are from PBE.

Results
- total magnetic moment (μB per cell) = 0.00

Cell lengths 7.421, 7.421, 7.421 Å; angles 90.00, 90.00, 90.00 degrees
Space group Fm-3m (No. 225)
Asymmetric unit:
Ca  0.250  0.250  0.250 (multiplicity 8)
Cd  0.000  0.000  0.000 (multiplicity 4)
H  0.000  0.000  0.500 (multiplicity 4)

<B>
Here is Ca2CdH after structural relaxation from Alexandria via LeMat-Bulk. Energies are from PBE.

Results
- total magnetic moment (μB per cell) = 0.08

Cell lengths 3.7619, 3.7619, 23.5854 Å; angles 90.00, 90.00, 120.00 degrees
Space group R3m (No. 160, hexagonal axes)
Asymmetric unit:
Ca  0.0000  0.0000  0.0000 (multiplicity 3)
Ca  0.0000  0.0000  0.2065 (multiplicity 3)
Cd  0.0000  0.0000  0.7703 (multiplicity 3)
H  0.0000  0.0000  0.6011 (multiplicity 3)

Quick look at relative energies in kJ/mol of atoms: <A> 27.8; <B> 0.0.

<A>
Here is Ca2CdH after structural relaxation from Alexandria via LeMat-Bulk. Energies are from PBE.

Results
- total magnetic moment (μB per cell) = 0.00

Cell lengths 5.467, 13.076, 5.430 Å; angles 90.00, 90.00, 90.00 degrees
Space group Cccm (No. 66)
Asymmetric unit:
Ca  0.232  0.101  0.000 (multiplicity 8)
Cd  0.250  0.250  0.500 (multiplicity 4)
H  0.000  0.000  0.250 (multiplicity 4)

<B>
Here is Ca2CdH after structural relaxation from Alexandria via LeMat-Bulk. Energies are from PBE.

Results
- total magnetic moment (μB per cell) = 0.00

Cell lengths 3.8071, 3.8071, 23.0814 Å; angles 90.00, 90.00, 120.00 degrees
Space group R-3m (No. 166, hexagonal axes)
Asymmetric unit:
Ca  0.0000  0.0000  0.2300 (multiplicity 6)
Cd  0.0000  0.0000  0.0000 (multiplicity 3)
H  0.0000  0.0000  0.5000 (multiplicity 3)

<C>
Here is Ca2CdH after structural relaxation from Alexandria via LeMat-Bulk. Energies are from PBE.

Results
- total magnetic moment (μB per cell) = 0.00

Cell lengths 7.070, 7.070, 7.947 Å; angles 90.00, 90.00, 90.00 degrees
Space group I-42d (No. 122)
Asymmetric unit:
Ca  0.147  0.250  0.125 (multiplicity 8)
Cd  0.000  0.000  0.500 (multiplicity 4)
H  0.000  0.000  0.000 (multiplicity 4)

<D>
Here is Ca2CdH after structural relaxation from Alexandria via LeMat-Bulk. Energies are from PBE.

Results
- total magnetic moment (μB per cell) = 0.00

Cell lengths 3.424, 3.424, 7.908 Å; angles 90.00, 90.00, 90.00 degrees
Space group P4/mmm (No. 123)
Asymmetric unit:
Ca  0.000  0.000  0.221 (multiplicity 2)
Cd  0.500  0.500  0.500 (multiplicity 1)
H  0.500  0.500  0.000 (multiplicity 1)

Quick look at relative energies in kJ/mol of atoms: <A> 0.0; <B> 13.6; <C> 10.3; <D> 28.1.

<A>
Here is Ca3CdH after structural relaxation from Alexandria via LeMat-Bulk. Energies are from PBE.

Results
- total magnetic moment (μB per cell) = 0.00

Cell lengths 5.038, 5.038, 5.038 Å; angles 90.00, 90.00, 90.00 degrees
Space group Pm-3m (No. 221)
Asymmetric unit:
Ca  0.000  0.000  0.500 (multiplicity 3)
Cd  0.500  0.500  0.500 (multiplicity 1)
H  0.000  0.000  0.000 (multiplicity 1)

<B>
Here is Ca3CdH after structural relaxation from Alexandria via LeMat-Bulk. Energies are from PBE.

Results
- total magnetic moment (μB per cell) = 0.00

Cell lengths 3.928, 9.930, 7.441 Å; angles 90.00, 105.28, 90.00 degrees
Space group P2_1/m (No. 11)
Asymmetric unit:
Ca  0.041  0.250  0.082 (multiplicity 2)
Ca  0.361  0.064  0.721 (multiplicity 4)
Cd  0.271  0.750  0.544 (multiplicity 2)
H  0.456  0.250  0.913 (multiplicity 2)

Quick look at relative energies in kJ/mol of atoms: <A> 3.2; <B> 0.0.

<A>
Here is Ca2CdHgH after structural relaxation from Alexandria via LeMat-Bulk. Energies are from PBE.

Results
- total magnetic moment (μB per cell) = 0.00

Cell lengths 5.031, 5.031, 4.320 Å; angles 90.00, 90.00, 90.00 degrees
Space group P4/mmm (No. 123)
Asymmetric unit:
Ca  0.000  0.500  0.000 (multiplicity 2)
Cd  0.000  0.000  0.500 (multiplicity 1)
Hg  0.500  0.500  0.500 (multiplicity 1)
H  0.000  0.000  0.000 (multiplicity 1)

<B>
Here is Ca2CdHgH after structural relaxation from Alexandria via LeMat-Bulk. Energies are from PBE.

Results
- total magnetic moment (μB per cell) = 0.00

Cell lengths 4.978, 4.978, 4.467 Å; angles 90.00, 90.00, 90.00 degrees
Space group P4/mmm (No. 123)
Asymmetric unit:
Ca  0.000  0.500  0.000 (multiplicity 2)
Cd  0.000  0.000  0.500 (multiplicity 1)
Hg  0.500  0.500  0.500 (multiplicity 1)
H  0.500  0.500  0.000 (multiplicity 1)

Quick look at relative energies in kJ/mol of atoms: <A> 0.0; <B> 4.2.

<A>
Here is CaLa2CdH after structural relaxation from Alexandria via LeMat-Bulk. Energies are from PBE.

Results
- total magnetic moment (μB per cell) = 0.00

Cell lengths 5.092, 5.092, 5.063 Å; angles 90.00, 90.00, 90.00 degrees
Space group P4/mmm (No. 123)
Asymmetric unit:
Ca  0.000  0.000  0.000 (multiplicity 1)
La  0.000  0.500  0.500 (multiplicity 2)
Cd  0.500  0.500  0.000 (multiplicity 1)
H  0.500  0.500  0.500 (multiplicity 1)

<B>
Here is CaLa2CdH after structural relaxation from Alexandria via LeMat-Bulk. Energies are from PBE.

Results
- total magnetic moment (μB per cell) = 0.00

Cell lengths 5.033, 5.033, 5.209 Å; angles 90.00, 90.00, 90.00 degrees
Space group P4/mmm (No. 123)
Asymmetric unit:
Ca  0.000  0.000  0.000 (multiplicity 1)
La  0.000  0.500  0.500 (multiplicity 2)
Cd  0.500  0.500  0.000 (multiplicity 1)
H  0.000  0.000  0.500 (multiplicity 1)

Quick look at relative energies in kJ/mol of atoms: <A> 5.8; <B> 0.0.

<A>
Here is LiCa2CdH after structural relaxation from Alexandria via LeMat-Bulk. Energies are from PBE.

Results
- total magnetic moment (μB per cell) = 0.00

Cell lengths 4.998, 4.998, 4.563 Å; angles 90.00, 90.00, 90.00 degrees
Space group P4/mmm (No. 123)
Asymmetric unit:
Li  0.000  0.000  0.000 (multiplicity 1)
Ca  0.000  0.500  0.500 (multiplicity 2)
Cd  0.500  0.500  0.000 (multiplicity 1)
H  0.500  0.500  0.500 (multiplicity 1)

<B>
Here is LiCa2CdH after structural relaxation from Alexandria via LeMat-Bulk. Energies are from PBE.

Results
- total magnetic moment (μB per cell) = 0.00

Cell lengths 5.151, 5.151, 4.108 Å; angles 90.00, 90.00, 90.00 degrees
Space group P4/mmm (No. 123)
Asymmetric unit:
Li  0.000  0.000  0.000 (multiplicity 1)
Ca  0.000  0.500  0.500 (multiplicity 2)
Cd  0.500  0.500  0.000 (multiplicity 1)
H  0.000  0.000  0.500 (multiplicity 1)

Quick look at relative energies in kJ/mol of atoms: <A> 14.4; <B> 0.0.

<A>
Here is NaCa2CdH after structural relaxation from Alexandria via LeMat-Bulk. Energies are from PBE.

Results
- total magnetic moment (μB per cell) = 0.00

Cell lengths 5.177, 5.177, 4.484 Å; angles 90.00, 90.00, 90.00 degrees
Space group P4/mmm (No. 123)
Asymmetric unit:
Na  0.000  0.000  0.000 (multiplicity 1)
Ca  0.000  0.500  0.500 (multiplicity 2)
Cd  0.500  0.500  0.000 (multiplicity 1)
H  0.000  0.000  0.500 (multiplicity 1)

<B>
Here is NaCa2CdH after structural relaxation from Alexandria via LeMat-Bulk. Energies are from PBE.

Results
- total magnetic moment (μB per cell) = 0.00

Cell lengths 5.047, 5.047, 4.965 Å; angles 90.00, 90.00, 90.00 degrees
Space group P4/mmm (No. 123)
Asymmetric unit:
Na  0.000  0.000  0.000 (multiplicity 1)
Ca  0.000  0.500  0.500 (multiplicity 2)
Cd  0.500  0.500  0.000 (multiplicity 1)
H  0.500  0.500  0.500 (multiplicity 1)

Quick look at relative energies in kJ/mol of atoms: <A> 0.0; <B> 12.4.